{
  "formula": "Nd4Y2In",
  "functional": "PBE",
  "state": "optimized geometry",
  "cell": [[3.1296, -6.2339, 0.0000], [3.1296, 6.2339, 0.0000], [0.0000, 0.0000, 6.1450]],
  "species": ["Nd", "Nd", "Nd", "Nd", "Y", "Y", "In"],
  "fractional_positions": [[0.1312, 0.8688, 0.0000], [0.3296, 0.6704, 0.5000], [0.6704, 0.3296, 0.5000], [0.8688, 0.1312, 0.0000], [0.3798, 0.6202, 0.0000], [0.6202, 0.3798, 0.0000], [0.0000, 0.0000, 0.5000]],
  "delta_e_f_ev_per_atom": 0.405,
  "final_energy_ev_per_atom": -4.56,
  "magnetic_moment_mub_per_fu": 0.0,
  "n_ef_per_ev_cell": 9.0,
  "space_group": "No. 65"
}